# 1
VASP calculation (PBE) on crystalline TaCrW4 at its relaxed geometry.

a b c (Å): 7.4445 7.4445 7.4445
angles (deg): 90.00 90.00 90.00
Space group F-43m (No. 216)
Asymmetric unit:
1 Ta 0.0000 0.0000 0.0000 (multiplicity 4)
2 Cr 0.2500 0.2500 0.2500 (multiplicity 4)
3 W 0.1255 0.1255 0.6255 (multiplicity 16)

Summary:
Crystal system: cubic
Energy above the most stable polymorph in this dataset (eV per atom): 0.3654
Energy of formation (eV per formula unit): 2.093

# 2
VASP calculation (PBE) on crystalline ZnH at its relaxed geometry.

a b c (Å): 2.5454 4.4052 6.4795
angles (deg): 76.05 80.27 89.74
Space group P1 (No. 1)
Asymmetric unit:
1 Zn 0.0000 0.0000 0.0000 (multiplicity 1)
2 Zn 0.4981 0.4980 0.0050 (multiplicity 1)
3 H 0.2264 0.2309 0.5642 (multiplicity 1)
4 H 0.2661 0.2560 0.4422 (multiplicity 1)

Summary:
Crystal system: triclinic

# 3
VASP calculation (PBE) on crystalline Cs2NbNiS4 at its relaxed geometry.

a b c (Å): 5.6184 14.3175 25.4610
angles (deg): 90.00 90.00 90.00
Space group Fddd (No. 70, origin choice 2)
Asymmetric unit:
1 Cs 0.1250 0.1250 0.3008 (multiplicity 16)
2 Nb 0.1250 0.1250 0.1250 (multiplicity 8)
3 Ni 0.1250 0.1250 0.6250 (multiplicity 8)
4 S 0.1202 0.2851 0.8247 (multiplicity 32)

Summary:
Crystal system: orthorhombic
Uncorrected formation energy (meV per atom): -1066

# 4
VASP calculation (PBE) on crystalline Sr2GaPd3 at its relaxed geometry.

a b c (Å): 5.8068 5.8068 8.6386
angles (deg): 90.00 90.00 120.00
Space group P6_3/mmc (No. 194)
Asymmetric unit:
1 Sr 0.3333 0.6667 0.0624 (multiplicity 4)
2 Ga 0.0000 0.0000 0.0000 (multiplicity 2)
3 Pd 0.1657 0.3313 0.7500 (multiplicity 6)

Summary:
Crystal system: hexagonal
Energy above the most stable polymorph in this dataset (eV per atom): 0.0000
Energy of formation (eV per formula unit): -3.931

# 5
VASP calculation (PBE) on crystalline K2NiSe at its relaxed geometry.

a b c (Å): 7.3003 7.3003 7.3003
angles (deg): 90.00 90.00 90.00
Space group F-43m (No. 216)
Asymmetric unit:
1 K 0.0000 0.0000 0.0000 (multiplicity 4)
2 K 0.2500 0.2500 0.2500 (multiplicity 4)
3 Ni 0.2500 0.2500 0.7500 (multiplicity 4)
4 Se 0.0000 0.0000 0.5000 (multiplicity 4)

Summary:
Crystal system: cubic
Uncorrected formation energy (meV per atom): 75

# 6
VASP calculation (PBE) on crystalline KBaSi2 at its relaxed geometry.

a b c (Å): 4.9920 4.9920 9.4447
angles (deg): 90.00 90.00 90.00
Space group I-4m2 (No. 119)
Asymmetric unit:
1 K 0.0000 0.0000 0.0000 (multiplicity 2)
2 Ba 0.0000 0.5000 0.2500 (multiplicity 2)
3 Si 0.0000 0.0000 0.5000 (multiplicity 2)
4 Si 0.0000 0.5000 0.7500 (multiplicity 2)

Summary:
Crystal system: tetragonal
Energy above the most stable polymorph in this dataset (eV per atom): 0.5511
Uncorrected formation energy (meV per atom): 370

# 7
VASP calculation (PBE) on crystalline Er6ThZr at its relaxed geometry.

a b c (Å): 6.0088 6.0597 6.8741
angles (deg): 90.19 106.40 99.30
Space group P-1 (No. 2)
Asymmetric unit:
1 Er 0.0030 0.0009 0.2537 (multiplicity 2)
2 Er 0.4921 0.7444 0.8709 (multiplicity 2)
3 Er 0.4959 0.7393 0.3754 (multiplicity 2)
4 Th 0.0000 0.5000 0.0000 (multiplicity 1)
5 Zr 0.0000 0.5000 0.5000 (multiplicity 1)

Summary:
Crystal system: triclinic
Energy of formation (eV per formula unit): 0.417

# 8
VASP calculation (PBE) on crystalline Rh at its relaxed geometry.

a b c (Å): 2.6898 2.6898 8.6050
angles (deg): 90.00 90.00 90.00
Space group I4/mmm (No. 139)
Asymmetric unit:
1 Rh 0.0000 0.0000 0.1421 (multiplicity 4)

Summary:
Crystal system: tetragonal
Energy above the most stable polymorph in this dataset (eV per atom): 0.3465
Energy of formation (eV per formula unit): 0.346

# 9
VASP calculation (PBE) on crystalline TbDyFeAg at its relaxed geometry.

a b c (Å): 7.0454 7.0454 7.0454
angles (deg): 90.00 90.00 90.00
Space group F-43m (No. 216)
Asymmetric unit:
1 Tb 0.0000 0.0000 0.0000 (multiplicity 4)
2 Dy 0.0000 0.0000 0.5000 (multiplicity 4)
3 Fe 0.2500 0.2500 0.2500 (multiplicity 4)
4 Ag 0.2500 0.2500 0.7500 (multiplicity 4)

Summary:
Crystal system: cubic
Energy of formation (eV per formula unit): -0.053

# 10
VASP calculation (PBE) on crystalline ScGaCuCl at its relaxed geometry.

a b c (Å): 4.0520 4.0520 6.5053
angles (deg): 90.00 90.00 120.00
Space group P3m1 (No. 156)
Asymmetric unit:
1 Sc 0.0000 0.0000 0.0000 (multiplicity 1)
2 Ga 0.6667 0.3333 0.7299 (multiplicity 1)
3 Cu 0.3333 0.6667 0.7714 (multiplicity 1)
4 Cl 0.6667 0.3333 0.2316 (multiplicity 1)

Summary:
Crystal system: trigonal
Energy above the most stable polymorph in this dataset (eV per atom): 0.0822
Uncorrected formation energy (meV per atom): -573

# 11
VASP calculation (PBE) on crystalline Na2BeTe2 at its relaxed geometry.

a b c (Å): 6.6502 12.6549 6.4120
angles (deg): 90.00 90.00 90.00
Space group Ibam (No. 72)
Asymmetric unit:
1 Na 0.1789 0.1380 0.0000 (multiplicity 8)
2 Be 0.0000 0.5000 0.2500 (multiplicity 4)
3 Te 0.1974 0.3892 0.0000 (multiplicity 8)

Summary:
Crystal system: orthorhombic
Uncorrected formation energy (meV per atom): -687

# 12
VASP calculation (PBE) on crystalline SrBi2Pt at its relaxed geometry.

a b c (Å): 5.4361 4.3953 5.4539
angles (deg): 90.00 110.12 90.00
Space group P2/m (No. 10)
Asymmetric unit:
1 Sr 0.0000 0.0000 0.0000 (multiplicity 1)
2 Bi 0.3084 0.5000 0.6924 (multiplicity 2)
3 Pt 0.5000 0.0000 0.5000 (multiplicity 1)

Summary:
Crystal system: monoclinic
Energy of formation (eV per formula unit): -2.301

Magnetic moment list, top to bottom, in μB/f.u.: 2.66; 0.00; 1.01; 0.00; 0.24; 0.00; 0.00; 0.00; 1.33; 0.00; 0.00; 0.00
Electronic total energy list, top to bottom, in eV/cell: -284.78; -8.66; -340.76; -51.80; -44.64; -24.77; -42.93; -28.02; -82.40; -17.59; -64.32; -17.79